Entry 1:
Material: SrBeP2
Method: DFT, GGA-PBEsol
State: optimized geometry

POSCAR file:
```
SrBeP2
1.0
-0.8579 3.5212 0.2621
-3.9636 -0.8033 -2.1817
-1.2252 -2.5233 4.7010
P Sr Be
2 1 1
Cartesian
-5.7514 0.3063 2.2476
-1.4263 1.3687 2.1313
-2.5291 1.3097 -0.6858
-4.7974 -1.2365 0.9097
```

Calculated values
Formation enthalpy at 0 K   -0.32 eV/atom
D(E_F)   0.98 states/eV per cell

***

Entry 2:
Material: SrBe2P2
Method: DFT, GGA-PBEsol
State: optimized geometry

POSCAR file:
```
SrBe2P2
1.0
-0.7595 2.7542 2.2692
-1.1500 -2.3852 2.5100
6.6515 -0.5096 -0.0884
Sr Be P
1 2 2
Cartesian
0.0000 0.0000 0.0000
2.2734 -1.3551 2.4056
2.4686 1.2146 2.2852
4.0204 -0.2294 1.6240
0.7217 0.0889 3.0668
```

Calculated values
Formation enthalpy at 0 K   -0.72 eV/atom

***

Entry 3:
Material: SrBeP2
Method: DFT, GGA-PBEsol
State: optimized geometry

POSCAR file:
```
SrBeP2
1.0
3.2938 0.0000 0.0000
0.0000 5.1155 0.0000
-1.6469 -2.5577 4.4836
Sr P Be
1 2 1
Cartesian
0.0000 0.0000 4.4770
1.6469 2.5577 4.4046
1.6469 0.0000 1.6969
0.0000 2.5577 2.8723
```

Calculated values
Formation enthalpy at 0 K   0.05 eV/atom
D(E_F)   2.03 states/eV per cell

***

Entry 4:
Material: SrBeP2
Method: DFT, GGA-PBEsol
State: optimized geometry

POSCAR file:
```
SrBeP2
1.0
-2.1237 -2.5735 0.4676
0.9466 -0.1947 3.2276
-4.4900 3.9882 1.5574
P Be Sr
2 1 1
Cartesian
-4.4623 3.9636 1.5478
-1.3486 -0.7090 2.1112
-4.3559 1.9622 3.1543
-2.2353 1.9855 0.7753
```

Calculated values
Formation enthalpy at 0 K   0.01 eV/atom
D(E_F)   1.83 states/eV per cell

***

Entry 5:
Material: TaBe2P
Method: DFT, GGA-PBEsol
State: optimized geometry

POSCAR file:
```
TaBe2P
1.0
-0.5114 -0.8285 -2.9117
2.9560 0.5006 -0.6617
1.0827 -4.8287 1.1839
Be P Ta
2 1 1
Cartesian
1.4790 -1.3091 -1.5059
0.0538 -0.2400 0.0589
0.5178 -2.3094 0.5662
2.0179 -3.7125 -0.9167
```

Calculated values
Formation enthalpy at 0 K   -0.18 eV/atom
D(E_F)   0.91 states/eV per cell

***

Entry 6:
Material: TaBe2P
Method: DFT, GGA-PBEsol
State: optimized geometry

POSCAR file:
```
TaBe2P
1.0
-2.6238 -0.6173 -0.1295
1.5917 -4.2905 0.8320
-0.2434 2.9280 3.6058
Be Ta P
2 1 1
Cartesian
0.7959 -2.1453 0.4160
-0.1217 1.4640 1.8029
-0.6377 -0.9899 2.1542
-1.3119 -0.3086 -0.0647
```

Calculated values
Formation enthalpy at 0 K   0.13 eV/atom
D(E_F)   1.69 states/eV per cell

***

In eV/atom, the total energy values for the records above are, in order, -4.677; -5.007; -4.304; -4.343; -6.767; -6.455.